A plane-wave DFT calculation with PBE-GGA was carried out for an optimized crystal structure of Mg2CuRh2. Values from VASP.

```
&SYSTEM
  ibrav = 0, nat = 10, ntyp = 3
/
ATOMIC_SPECIES
Mg 24.30 Mg.upf
Cu 63.55 Cu.upf
Rh 102.91 Rh.upf
CELL_PARAMETERS angstrom
6.440 0.000 0.000
0.000 6.440 0.000
0.000 0.000 3.937
ATOMIC_POSITIONS angstrom
Mg 1.076 2.143 0.000
Mg 2.143 5.363 0.000
Mg 4.296 1.076 0.000
Mg 5.363 4.296 0.000
Cu 0.000 0.000 1.968
Cu 3.220 3.220 1.968
Rh 0.893 4.113 1.968
Rh 2.327 0.893 1.968
Rh 4.113 5.547 1.968
Rh 5.547 2.327 1.968
```

distance to the lowest polymorph of the same formula: 0 meV per atom
E_form: -0.23 eV per atom
calculated volume: 16.32 Å³ per atom
final energy: -4.629 eV/atom
symmetry: No. 127